Entry from Alexandria via LeMat-Bulk: RbNi3Te3 after structural relaxation (GGA-PBE).

## Properties
SG ... No. 176

Cell: 4.523 9.678 9.678 Å, 120.00 90.00 90.00°
Sites, in units of the cell vectors:
Rb  0.750  0.333  0.667
Rb  0.250  0.667  0.333
Ni  0.750  0.031  0.183
Ni  0.750  0.152  0.969
Ni  0.750  0.817  0.848
Ni  0.250  0.969  0.817
Ni  0.250  0.848  0.031
Ni  0.250  0.183  0.152
Te  0.750  0.324  0.269
Te  0.750  0.945  0.676
Te  0.750  0.731  0.055
Te  0.250  0.676  0.731
Te  0.250  0.055  0.324
Te  0.250  0.269  0.945

Entry from Alexandria via LeMat-Bulk: Rb2NiTe2 after structural relaxation (GGA-PBE).

## Properties
SG ... No. 71

Cell: 3.911 7.083 7.083 Å, 70.28 73.97 73.97°
Sites, in units of the cell vectors:
Rb  0.197  0.303  0.303
Rb  0.803  0.697  0.697
Ni  0.000  0.000  0.000
Te  0.500  0.203  0.797
Te  0.500  0.797  0.203

Entry from Alexandria via LeMat-Bulk: Rb2NiTe after structural relaxation (GGA-PBE).

## Properties
SG ... No. 122

Cell: 4.913 4.913 12.045 Å, 78.23 78.23 90.00°
Sites, in units of the cell vectors:
Ni  0.500  0.500  0.000
Ni  0.250  0.750  0.500
Te  0.000  0.000  0.000
Te  0.750  0.250  0.500
Rb  0.605  0.125  0.250
Rb  0.145  0.625  0.250
Rb  0.375  0.395  0.750
Rb  0.875  0.855  0.750

Entry from Alexandria via LeMat-Bulk: RbNi4Te8 after structural relaxation (GGA-PBE).

## Properties
SG ... No. 12

Cell: 3.931 8.887 9.947 Å, 81.94 78.60 77.22°
Sites, in units of the cell vectors:
Rb  0.516  0.002  0.967
Ni  0.377  0.811  0.435
Ni  0.851  0.506  0.792
Ni  0.180  0.497  0.142
Ni  0.654  0.193  0.499
Te  0.127  0.356  0.390
Te  0.559  0.668  0.214
Te  0.472  0.335  0.720
Te  0.904  0.648  0.544
Te  0.847  0.985  0.320
Te  0.227  0.654  0.891
Te  0.184  0.018  0.614
Te  0.804  0.349  0.042

Entry from Alexandria via LeMat-Bulk: RbNiTe after structural relaxation (GGA-PBE).

## Properties
SG ... No. 129

Cell: 4.396 4.396 10.368 Å, 90.00 90.00 90.00°
Sites, in units of the cell vectors:
Ni  0.000  0.000  0.500
Ni  0.500  0.500  0.500
Te  0.000  0.500  0.372
Te  0.500  0.000  0.628
Rb  0.000  0.500  0.799
Rb  0.500  0.000  0.201

Entry from Alexandria via LeMat-Bulk: RbNiTe after structural relaxation (GGA-PBE).

## Properties
SG ... No. 107

Cell: 3.733 3.733 6.776 Å, 105.99 105.99 90.00°
Sites, in units of the cell vectors:
Ni  0.262  0.262  0.525
Te  0.730  0.730  0.461
Rb  0.007  0.007  0.015

Entry from Alexandria via LeMat-Bulk: Rb2Ni3Te4 after structural relaxation (GGA-PBE).

## Properties
SG ... No. 70

Cell: 6.609 6.616 14.831 Å, 83.61 77.13 60.03°
Sites, in units of the cell vectors:
Rb  0.179  0.500  0.642
Rb  0.321  0.500  0.358
Rb  0.571  0.000  0.858
Rb  0.429  0.000  0.142
Ni  0.249  0.000  0.502
Ni  0.999  0.500  0.002
Ni  0.501  0.500  0.998
Ni  0.000  0.000  0.000
Ni  0.750  0.500  0.500
Ni  0.751  0.000  0.498
Te  0.895  0.334  0.886
Te  0.219  0.666  0.886
Te  0.771  0.334  0.114
Te  0.635  0.834  0.386
Te  0.855  0.166  0.614
Te  0.115  0.666  0.114
Te  0.979  0.166  0.386
Te  0.531  0.834  0.614

Entry from Alexandria via LeMat-Bulk: RbNiTe after structural relaxation (GGA-PBE).

## Properties
SG ... No. 12

Cell: 4.259 8.722 7.165 Å, 124.81 107.29 90.00°
Sites, in units of the cell vectors:
Rb  0.036  0.773  0.073
Rb  0.964  0.227  0.927
Ni  0.737  0.414  0.475
Ni  0.263  0.586  0.525
Te  0.730  0.699  0.461
Te  0.270  0.301  0.539

Entry from Alexandria via LeMat-Bulk: RbNi2Te2 after structural relaxation (GGA-PBE).

## Properties
SG ... No. 127

Cell: 8.443 8.443 3.369 Å, 90.00 90.00 90.00°
Sites, in units of the cell vectors:
Ni  0.400  0.900  0.000
Ni  0.900  0.600  0.000
Ni  0.600  0.100  0.000
Ni  0.100  0.400  0.000
Te  0.143  0.643  0.500
Te  0.643  0.857  0.500
Te  0.857  0.357  0.500
Te  0.357  0.143  0.500
Rb  0.000  0.000  0.000
Rb  0.500  0.500  0.000

Entry from Alexandria via LeMat-Bulk: RbNi2Te after structural relaxation (GGA-PBE).

## Properties
SG ... No. 141

Cell: 5.231 5.231 8.994 Å, 73.10 73.10 90.00°
Sites, in units of the cell vectors:
Ni  0.876  0.125  0.250
Ni  0.874  0.625  0.250
Ni  0.375  0.124  0.750
Ni  0.875  0.126  0.750
Te  0.000  0.000  0.000
Te  0.750  0.250  0.500
Rb  0.500  0.500  0.000
Rb  0.250  0.750  0.500

Entry from Alexandria via LeMat-Bulk: RbTl2NiTe after structural relaxation (GGA-PBE).

## Properties
SG ... No. 123

Cell: 5.132 5.996 5.132 Å, 90.00 90.00 90.00°
Sites, in units of the cell vectors:
Ni  0.000  0.000  0.000
Tl  0.000  0.000  0.500
Tl  0.500  0.000  0.000
Te  0.500  0.500  0.500
Rb  0.000  0.500  0.000

Entry from Alexandria via LeMat-Bulk: Rb4U3NiTe8 after structural relaxation (GGA-PBE).

## Properties
SG ... No. 12

Cell: 8.924 9.977 8.943 Å, 116.66 119.93 90.00°
Sites, in units of the cell vectors:
Rb  0.500  0.000  0.000
Rb  0.500  0.000  0.500
Rb  0.000  0.000  0.000
Rb  0.000  0.000  0.500
U  0.500  0.500  0.000
U  0.500  0.500  0.500
U  0.000  0.500  0.500
Ni  0.000  0.500  0.000
Te  0.219  0.688  0.968
Te  0.222  0.690  0.444
Te  0.265  0.295  0.530
Te  0.748  0.688  0.968
Te  0.252  0.312  0.032
Te  0.735  0.705  0.470
Te  0.778  0.310  0.556
Te  0.781  0.312  0.032

| no. | raw total energy (eV/cell) | raw formation energy (eV/f.u.) | density of states at the Fermi level (states/eV per cell) |
| --- | --- | --- | --- |
| 1 | -60.1 | -2.3 | 5.66 |
| 2 | -17.2 | -3.2 | 0.05 |
| 3 | -18.6 | 1.6 | 5.86 |
| 4 | -52.8 | -3.6 | 8.54 |
| 5 | -22.0 | -1.1 | 5.93 |
| 6 | -10.3 | -0.4 | 2.27 |
| 7 | -71.8 | -4.1 | 1.07 |
| 8 | -22.6 | -1.4 | 6.52 |
| 9 | -37.6 | 0.0 | 7.01 |
| 10 | -31.2 | 0.1 | 6.45 |
| 11 | -14.9 | -0.3 | 1.75 |
| 12 | -79.8 | -11.1 | 19.96 |